LiZn2Au at its PBEsol-relaxed geometry. Source: Alexandria, functional SCAN. Values from VASP.

```
&SYSTEM
  ibrav = 0, nat = 4, ntyp = 3
/
ATOMIC_SPECIES
Li 6.94 Li.upf
Zn 65.41 Zn.upf
Au 196.97 Au.upf
ATOMIC_POSITIONS angstrom
Li 0.000 0.000 0.000
Zn 0.000 0.000 2.854
Zn 1.577 1.577 1.409
Au 1.577 1.577 4.380
CELL_PARAMETERS angstrom
3.155 0.000 0.000
0.000 3.155 0.000
0.000 0.000 5.747
```

The spin magnetization is 0.000 μB/f.u. For the energy above the most stable polymorph in this dataset, the calculation gives 138 meV/atom. The energy of formation from the pure elements comes out at -0.312 eV per atom.

Cu2Ag at its PBEsol-relaxed geometry. Source: Alexandria, functional SCAN. Values from VASP.

```
&SYSTEM
  ibrav = 0, nat = 12, ntyp = 2
/
ATOMIC_SPECIES
Cu 63.55 Cu.upf
Ag 107.87 Ag.upf
ATOMIC_POSITIONS angstrom
Cu 0.000 0.000 0.000
Cu 0.000 0.000 3.910
Cu 0.000 1.415 1.955
Cu -1.191 3.477 1.955
Cu 1.225 0.707 5.864
Cu 1.191 3.477 1.955
Cu 3.607 0.707 5.864
Cu 2.416 2.770 5.864
Ag 0.000 2.790 4.391
Ag 0.000 2.790 7.338
Ag 2.416 1.395 0.482
Ag 2.416 1.395 3.428
CELL_PARAMETERS angstrom
4.832 0.000 0.000
-2.416 4.185 0.000
0.000 0.000 7.819
```

The spin magnetization is 0.000 μB/f.u. For the energy above the most stable polymorph in this dataset, the calculation gives 0 meV/atom. The energy of formation from the pure elements comes out at 0.074 eV per atom.

RbBiTe2Ir at its PBEsol-relaxed geometry. Source: Alexandria, functional SCAN. Values from VASP.

```
&SYSTEM
  ibrav = 0, nat = 5, ntyp = 4
/
ATOMIC_SPECIES
Rb 85.47 Rb.upf
Bi 208.98 Bi.upf
Te 127.60 Te.upf
Ir 192.22 Ir.upf
ATOMIC_POSITIONS angstrom
Rb 0.000 0.000 0.000
Bi 2.586 2.586 0.000
Te 0.000 2.586 2.842
Te 2.586 0.000 2.842
Ir 0.000 0.000 2.842
CELL_PARAMETERS angstrom
5.172 0.000 0.000
0.000 5.172 0.000
0.000 0.000 5.683
```

The spin magnetization is 0.000 μB/f.u. The value obtained for the energy relative to the elements, uncorrected is 0.3677 eV/atom.

HfPdCl2 at its PBEsol-relaxed geometry. Source: Alexandria, functional SCAN. Values from VASP.

```
&SYSTEM
  ibrav = 0, nat = 8, ntyp = 3
/
ATOMIC_SPECIES
Hf 178.49 Hf.upf
Pd 106.42 Pd.upf
Cl 35.45 Cl.upf
ATOMIC_POSITIONS angstrom
Hf 0.000 0.000 0.000
Hf 0.000 3.041 2.281
Pd 3.041 0.000 2.281
Pd 0.000 0.000 4.563
Cl 1.520 1.535 -1.141
Cl 4.547 1.520 1.141
Cl 1.520 1.506 3.422
Cl -1.506 1.520 5.704
CELL_PARAMETERS angstrom
-3.041 3.041 4.563
3.041 -3.041 4.563
3.041 3.041 -4.563
```

The spin magnetization is 0.004 μB/f.u. The value obtained for the energy relative to the elements, uncorrected is -0.1070 eV/atom.

KHfCr3 at its PBEsol-relaxed geometry. Source: Alexandria, functional SCAN. Values from VASP.

```
&SYSTEM
  ibrav = 0, nat = 5, ntyp = 3
/
ATOMIC_SPECIES
K 39.10 K.upf
Hf 178.49 Hf.upf
Cr 52.00 Cr.upf
ATOMIC_POSITIONS angstrom
K 0.000 0.000 0.000
Hf 2.273 2.273 2.273
Cr 0.000 0.000 2.273
Cr 0.000 2.273 0.000
Cr 2.273 0.000 0.000
CELL_PARAMETERS angstrom
4.545 0.000 0.000
0.000 4.545 0.000
0.000 0.000 4.545
```

The spin magnetization is 10.765 μB/f.u. The energy of formation from the pure elements comes out at 2.105 eV per atom.

Zr2TcTeW at its PBEsol-relaxed geometry. Source: Alexandria, functional SCAN. Values from VASP.

```
&SYSTEM
  ibrav = 0, nat = 5, ntyp = 4
/
ATOMIC_SPECIES
Zr 91.22 Zr.upf
Tc 98.00 Tc.upf
Te 127.60 Te.upf
W 183.84 W.upf
ATOMIC_POSITIONS angstrom
Zr 0.000 2.433 0.000
Zr 2.433 0.000 0.000
Tc 0.000 0.000 0.000
Te 0.000 0.000 2.434
W 2.433 2.433 2.434
CELL_PARAMETERS angstrom
4.867 0.000 0.000
0.000 4.867 0.000
0.000 0.000 4.868
```

The spin magnetization is 2.389 μB/f.u. The value obtained for the energy relative to the elements, uncorrected is 1.1524 eV/atom.

Sr3Se2Cl2O6 at its PBEsol-relaxed geometry. Source: Alexandria, functional SCAN. Values from VASP.

```
&SYSTEM
  ibrav = 0, nat = 13, ntyp = 4
/
ATOMIC_SPECIES
Sr 87.62 Sr.upf
Se 78.96 Se.upf
Cl 35.45 Cl.upf
O 16.00 O.upf
ATOMIC_POSITIONS angstrom
Sr 0.000 0.000 0.000
Sr 3.222 0.249 5.142
Sr 9.236 0.249 1.399
Se 5.127 0.254 1.763
Se 7.332 0.254 4.778
Cl 1.892 0.304 2.450
Cl 10.567 0.304 4.091
O 4.500 1.512 0.734
O 5.675 0.537 5.007
O 7.959 1.512 5.807
O 6.783 0.537 1.534
O 4.777 -1.113 0.758
O 7.682 -1.113 5.783
CELL_PARAMETERS angstrom
6.582 -2.779 0.000
6.582 2.779 0.000
-0.704 0.000 6.541
```

The spin magnetization is 0.000 μB/f.u. The value obtained for the energy relative to the elements, uncorrected is -2.2822 eV/atom.

MnReAs at its PBEsol-relaxed geometry. Source: Alexandria, functional SCAN. Values from VASP.

```
&SYSTEM
  ibrav = 0, nat = 3, ntyp = 3
/
ATOMIC_SPECIES
Mn 54.94 Mn.upf
Re 186.21 Re.upf
As 74.92 As.upf
ATOMIC_POSITIONS angstrom
Mn 0.000 0.000 0.000
Re 0.000 0.000 6.314
As 0.000 0.000 3.296
CELL_PARAMETERS angstrom
-1.439 1.439 4.675
1.439 -1.439 4.675
1.439 1.439 -4.675
```

The spin magnetization is 0.000 μB/f.u. For the energy above the most stable polymorph in this dataset, the calculation gives 171 meV/atom. The energy of formation from the pure elements comes out at 0.205 eV per atom.